Entry 1:
4
Lattice="3.597 0.000 0.000 0.000 3.597 0.000 0.000 0.000 8.750" Properties=species:S:1:pos:R:3 comment="Pm2ErIr, relaxed, DFT PBE" ef_ev_per_atom=-0.25 total_magnetization_mub_per_fu=1.02 spacegroup="P4/mmm, No. 123" pbc="T T T"
Pm 0.000 0.000 1.649
Pm 0.000 0.000 7.101
Er 1.798 1.798 4.375
Ir 1.798 1.798 0.000

Entry 2:
4
Lattice="2.279 -2.668 0.000 2.279 2.668 0.000 0.000 0.000 7.385" Properties=species:S:1:pos:R:3 comment="YTcTe2, relaxed, DFT PBE" total_magnetization_mub_per_fu=0.00 spacegroup="Cmmm, No. 65" raw_formation_energy_mev_per_atom=-163 pbc="T T T"
Y 0.000 0.000 0.000
Tc 0.000 0.000 3.692
Te 2.279 0.000 2.056
Te 2.279 0.000 5.328

| no. | volume (Å³/atom) |
| --- | --- |
| 1 | 28.30 |
| 2 | 22.45 |